The following is a DFT calculation (GGA-PBE) of a geometry-optimized Sc2CoCl structure.

```
data_Sc2CoCl
_chemical_formula_sum 'Sc4 Co2 Cl2'
_cell_length_a 6.160
_cell_length_b 3.552
_cell_length_c 7.278
_cell_angle_alpha 90.00
_cell_angle_beta 106.45
_cell_angle_gamma 90.00
_symmetry_space_group_name_H-M 'C 1 2/m 1'
_symmetry_Int_Tables_number 12
_symmetry_space_group_name_Hall '-C 2y'
loop_
_atom_site_label
_atom_site_fract_x
_atom_site_fract_y
_atom_site_fract_z
Sc1 0.234 0.000 0.202
Co1 0.000 0.500 0.000
Cl1 0.000 0.000 0.500
```

Summary:
* formation energy without anion corrections: -774 meV/atom

***

The following is a DFT calculation (GGA-PBE) of a geometry-optimized SrRuSe2 structure.

```
data_SrRuSe2
_chemical_formula_sum 'Sr1 Ru1 Se2'
_cell_length_a 4.033
_cell_length_b 4.033
_cell_length_c 6.095
_cell_angle_alpha 90.00
_cell_angle_beta 90.00
_cell_angle_gamma 90.00
_symmetry_space_group_name_H-M 'P 4 m m'
_symmetry_Int_Tables_number 99
_symmetry_space_group_name_Hall 'P 4 -2'
loop_
_atom_site_label
_atom_site_fract_x
_atom_site_fract_y
_atom_site_fract_z
Sr1 0.000 0.000 0.000
Ru1 0.500 0.500 0.492
Se1 0.000 0.000 0.487
Se2 0.500 0.500 0.908
```

Summary:
* formation energy without anion corrections: -412 meV/atom

***

The following is a DFT calculation (GGA-PBE) of a geometry-optimized GaAgSn structure.

```
data_GaAgSn
_chemical_formula_sum 'Ga4 Ag4 Sn4'
_cell_length_a 6.173
_cell_length_b 4.345
_cell_length_c 9.533
_cell_angle_alpha 90.00
_cell_angle_beta 90.00
_cell_angle_gamma 90.00
_symmetry_space_group_name_H-M 'P n m a'
_symmetry_Int_Tables_number 62
_symmetry_space_group_name_Hall '-P 2ac 2n'
loop_
_atom_site_label
_atom_site_fract_x
_atom_site_fract_y
_atom_site_fract_z
Ga1 0.122 0.250 0.079
Ag1 0.138 0.250 0.733
Sn1 0.141 0.250 0.400
```

Summary:
* energy relative to the elements: 0.195 eV/f.u.

***

The following is a DFT calculation (GGA-PBE) of a geometry-optimized YIn2Sn structure.

```
data_YIn2Sn
_chemical_formula_sum 'Y1 In2 Sn1'
_cell_length_a 4.554
_cell_length_b 4.554
_cell_length_c 4.917
_cell_angle_alpha 90.00
_cell_angle_beta 90.00
_cell_angle_gamma 90.00
_symmetry_space_group_name_H-M 'P 4/m m m'
_symmetry_Int_Tables_number 123
_symmetry_space_group_name_Hall '-P 4 2'
loop_
_atom_site_label
_atom_site_fract_x
_atom_site_fract_y
_atom_site_fract_z
Y1 0.000 0.000 0.000
In1 0.000 0.500 0.500
Sn1 0.500 0.500 0.000
```

Summary:
* energy relative to the elements: -1.724 eV/f.u.

***

The following is a DFT calculation (GGA-PBE) of a geometry-optimized NdEr2Sn2 structure.

```
data_NdEr2Sn2
_chemical_formula_sum 'Nd3 Er6 Sn6'
_cell_length_a 5.2219
_cell_length_b 5.2219
_cell_length_c 17.8496
_cell_angle_alpha 90.00
_cell_angle_beta 90.00
_cell_angle_gamma 120.00
_symmetry_space_group_name_H-M 'R -3 m'
_symmetry_Int_Tables_number 166
_symmetry_space_group_name_Hall '-R 3 2"'
loop_
_atom_site_label
_atom_site_fract_x
_atom_site_fract_y
_atom_site_fract_z
Nd1 0.0000 0.0000 0.0000
Er1 0.0000 0.0000 0.2080
Sn1 0.0000 0.0000 0.4120
```

Summary:
* energy relative to the elements: -2.829 eV/f.u.

***

The following is a DFT calculation (GGA-PBE) of a geometry-optimized LiTbHo2 structure.

```
data_LiTbHo2
_chemical_formula_sum 'Li1 Tb1 Ho2'
_cell_length_a 3.592
_cell_length_b 3.592
_cell_length_c 8.791
_cell_angle_alpha 90.00
_cell_angle_beta 90.00
_cell_angle_gamma 90.00
_symmetry_space_group_name_H-M 'P 4/m m m'
_symmetry_Int_Tables_number 123
_symmetry_space_group_name_Hall '-P 4 2'
loop_
_atom_site_label
_atom_site_fract_x
_atom_site_fract_y
_atom_site_fract_z
Li1 0.000 0.000 0.000
Tb1 0.000 0.000 0.500
Ho1 0.500 0.500 0.221
```

Summary:
* energy relative to the elements: 0.283 eV/f.u.